Material: Th2Sn2Au
Method: DFT, PBE
State: optimized geometry

Values from the calculation:
Uncorrected energy = -116.50 eV for the cell shown
Density = 11.02 g/cm3
Density of states at the Fermi level = 3.5 states/eV/f.u.

CIF file:
```
data_Th2Sn2Au
_chemical_formula_sum 'Th8 Sn8 Au4'
_symmetry_space_group_name_H-M 'C 1 2/m 1'
_symmetry_Int_Tables_number 12
_cell_length_a 11.6585
_cell_length_b 4.5570
_cell_length_c 11.2634
_cell_angle_alpha 90.00
_cell_angle_beta 115.21
_cell_angle_gamma 90.00
loop_
_symmetry_equiv_pos_as_xyz
'x,y,z'
'-x,-y,-z'
'-x,y,-z'
'x,-y,z'
'x+1/2,y+1/2,z'
'-x+1/2,-y+1/2,-z'
'-x+1/2,y+1/2,-z'
'x+1/2,-y+1/2,z'
loop_
_atom_site_label
_atom_site_type_symbol
_atom_site_fract_x
_atom_site_fract_y
_atom_site_fract_z
Th1 Th 0.0005 0.0000 0.1719
Th2 Th 0.1860 0.0000 0.6111
Sn1 Sn 0.0418 0.5000 0.3906
Sn2 Sn 0.1489 0.5000 0.0619
Au1 Au 0.2044 0.5000 0.8279
```